# HoMgFeC

A relaxed HoMgFeC crystal (PBE, Alexandria).

The energy relative to the elements comes out at 0.246 eV/f.u. For the energy, the calculation gives -5.903 eV per atom. As for the volume: 16.5 A^3/atom. For the density of states at the Fermi level, the calculation gives 4.2 states/eV per cell.

abc: 3.5880 3.5880 10.2315
angles: 90.00 90.00 90.00
Fractional positions:
Mg (0.7500, 0.2500, 0.5000)
Ho (0.7500, 0.7500, 0.2100)
Fe (0.7500, 0.2500, 0.0000)
Mg (0.2500, 0.7500, 0.5000)
Fe (0.2500, 0.7500, 0.0000)
C (0.7500, 0.7500, 0.9144)
C (0.2500, 0.2500, 0.0856)
Ho (0.2500, 0.2500, 0.7900)

=====

# Ta13Mo3

A relaxed Ta13Mo3 crystal (PBE, Alexandria).

The energy relative to the elements comes out at -0.994 eV/f.u. For the energy, the calculation gives -11.723 eV per atom. As for the volume: 17.7 A^3/atom. For the density of states at the Fermi level, the calculation gives 20.1 states/eV per cell.

abc: 6.5830 6.5830 6.5460
angles: 90.00 90.00 90.77
Fractional positions:
Ta (0.5044, 0.5037, 0.9967)
Ta (0.9963, 0.9956, 0.5033)
Mo (0.7494, 0.7506, 0.7500)
Ta (0.9986, 0.5014, 0.9977)
Mo (0.5005, 0.9995, 0.5011)
Ta (0.9963, 0.9956, 0.9967)
Mo (0.5005, 0.9995, 0.9989)
Ta (0.7449, 0.7551, 0.2500)
Ta (0.9986, 0.5014, 0.5023)
Ta (0.2562, 0.7576, 0.2500)
Ta (0.2524, 0.2476, 0.2500)
Ta (0.5044, 0.5037, 0.5033)
Ta (0.7428, 0.2422, 0.7500)
Ta (0.2578, 0.7572, 0.7500)
Ta (0.2546, 0.2454, 0.7500)
Ta (0.7424, 0.2438, 0.2500)

=====

# AcLa8Ho3

A relaxed AcLa8Ho3 crystal (PBE, Alexandria).

The energy relative to the elements comes out at 3.790 eV/f.u. For the energy, the calculation gives -4.456 eV per atom. As for the volume: 38.7 A^3/atom. For the density of states at the Fermi level, the calculation gives 19.2 states/eV per cell.

abc: 8.9386 8.9386 8.9386
angles: 97.48 99.16 135.29
Fractional positions:
Ac (0.0000, 0.0000, 0.0000)
Ho (0.0000, 0.5000, 0.5000)
Ho (0.5000, 0.2161, 0.7161)
La (0.4974, 0.7805, 0.7170)
La (0.8253, 0.7445, 0.5693)
La (0.1752, 0.2560, 0.4307)
La (0.5026, 0.2195, 0.2830)
Ho (0.5000, 0.7839, 0.2839)
La (0.8248, 0.2555, 0.0808)
La (0.9365, 0.2195, 0.7170)
La (0.0635, 0.7805, 0.2830)
La (0.1747, 0.7440, 0.9192)

=====

# Pm12SmTm6

A relaxed Pm12SmTm6 crystal (PBE, Alexandria).

The energy relative to the elements comes out at 4.572 eV/f.u. For the energy, the calculation gives -4.420 eV per atom. As for the volume: 34.5 A^3/atom. The value obtained for the distance to the lowest polymorph of the same formula is 105 meV per atom. For the density of states at the Fermi level, the calculation gives 27.7 states/eV per cell.

abc: 9.2014 9.2014 9.2014
angles: 106.59 106.59 106.59
Fractional positions:
Tm (0.4595, 0.0736, 0.1887)
Tm (0.0736, 0.1887, 0.4595)
Tm (0.5405, 0.9264, 0.8113)
Pm (0.8622, 0.1715, 0.7214)
Pm (0.1715, 0.7214, 0.8622)
Pm (0.1936, 0.5776, 0.4808)
Pm (0.2786, 0.1378, 0.8285)
Pm (0.8285, 0.2786, 0.1378)
Pm (0.7214, 0.8622, 0.1715)
Pm (0.1378, 0.8285, 0.2786)
Pm (0.5776, 0.4808, 0.1936)
Pm (0.4808, 0.1936, 0.5776)
Tm (0.8113, 0.5405, 0.9264)
Tm (0.1887, 0.4595, 0.0736)
Tm (0.9264, 0.8113, 0.5405)
Pm (0.4224, 0.5192, 0.8064)
Pm (0.8064, 0.4224, 0.5192)
Pm (0.5192, 0.8064, 0.4224)
Sm (0.0000, 0.0000, 0.0000)

=====

# BiPb2Au2

A relaxed BiPb2Au2 crystal (PBE, Alexandria).

The energy relative to the elements comes out at 0.439 eV/f.u. For the energy, the calculation gives -3.483 eV per atom. As for the volume: 27.4 A^3/atom. The value obtained for the distance to the lowest polymorph of the same formula is 151 meV per atom. For the density of states at the Fermi level, the calculation gives 2.0 states/eV per cell.

abc: 4.5984 4.5984 7.2561
angles: 71.53 71.53 90.00
Fractional positions:
Pb (0.2500, 0.7500, 0.5000)
Au (0.6026, 0.6026, 0.7948)
Bi (0.0000, 0.0000, 0.0000)
Au (0.3974, 0.3974, 0.2052)
Pb (0.7500, 0.2500, 0.5000)

=====

# Hf2TaBiMo

A relaxed Hf2TaBiMo crystal (PBE, Alexandria).

The energy relative to the elements comes out at 3.952 eV/f.u. For the energy, the calculation gives -8.504 eV per atom. As for the volume: 25.0 A^3/atom. For the density of states at the Fermi level, the calculation gives 6.0 states/eV per cell.

abc: 5.1086 4.7928 5.1086
angles: 90.00 90.00 90.00
Fractional positions:
Ta (0.0000, 0.5000, 0.0000)
Hf (0.0000, 0.0000, 0.5000)
Hf (0.5000, 0.0000, 0.0000)
Bi (0.5000, 0.5000, 0.5000)
Mo (0.0000, 0.0000, 0.0000)